## Ba2CrBiO6 (GGA+U)

Data for crystalline Ba2CrBiO6 at its relaxed geometry.

Output
theoretical density = 7.19 g/cm3
E_tot = -6.4348 eV per atom
calculated volume = 14.6 Å³ per atom

```
Ba2CrBiO6
1.0
5.9100 0.0000 0.0000
2.9550 5.1182 0.0000
2.9550 1.7061 4.8255
Bi Cr O Ba
1 1 6 2
direct
0.0000 0.0000 0.0000 Bi
0.5000 0.5000 0.5000 Cr
0.7450 0.7450 0.2550 O
0.2550 0.2550 0.7450 O
0.7450 0.2550 0.7450 O
0.2550 0.7450 0.7450 O
0.7450 0.2550 0.2550 O
0.2550 0.7450 0.2550 O
0.2500 0.2500 0.2500 Ba
0.7500 0.7500 0.7500 Ba
```



## BaCr2BiO8 (GGA+U)

Data for crystalline BaCr2BiO8 at its relaxed geometry.

Output
theoretical density = 4.32 g/cm3
E_tot = -6.6173 eV per atom
calculated volume = 18.5 Å³ per atom

```
BaCr2BiO8
1.0
5.7242 0.0000 0.0000
-2.8621 4.9573 0.0000
0.0000 0.0000 7.8297
Bi O Ba Cr
1 8 1 2
direct
0.0000 0.0000 0.5000 Bi
0.3395 0.1711 0.2933 O
0.6605 0.8289 0.7067 O
0.1711 0.8316 0.7067 O
0.8316 0.6605 0.2933 O
0.8289 0.1684 0.2933 O
0.1684 0.3395 0.7067 O
0.3333 0.6667 0.9855 O
0.6667 0.3333 0.0145 O
0.0000 0.0000 0.0000 Ba
0.3333 0.6667 0.7748 Cr
0.6667 0.3333 0.2252 Cr
```